(1)
This record from Alexandria describes an optimized crystal structure of Pu2Sn4Sb. The functional is GGA-PBE.

Total DFT energy (no corrections) (eV per atom): -7.213

Cell lengths 9.068, 9.084, 6.568 Å; angles 90.00, 133.52, 90.00 degrees
Fractional positions:
Pu 0.250 0.250 0.000
Pu 0.250 0.750 0.000
Pu 0.750 0.250 0.000
Pu 0.750 0.750 0.000
Sn 0.000 0.000 0.500
Sn 0.000 0.500 0.500
Sn 0.250 0.250 0.500
Sn 0.250 0.750 0.500
Sn 0.500 0.000 0.500
Sn 0.500 0.500 0.500
Sn 0.750 0.250 0.500
Sn 0.750 0.750 0.500
Sb 0.000 0.000 0.000
Sb 0.500 0.500 0.000

(2)
This record from Alexandria describes an optimized crystal structure of Pu3SnSb3. The functional is GGA-PBE.

Total DFT energy (no corrections) (eV per atom): -8.840

Cell lengths 8.765, 8.765, 5.746 Å; angles 90.00, 90.00, 120.00 degrees
Fractional positions:
Pu 0.096 0.652 0.250
Pu 0.348 0.444 0.250
Pu 0.444 0.096 0.750
Pu 0.556 0.904 0.250
Pu 0.652 0.556 0.750
Pu 0.904 0.348 0.750
Sn 0.333 0.667 0.750
Sn 0.667 0.333 0.250
Sb 0.058 0.785 0.750
Sb 0.215 0.273 0.750
Sb 0.273 0.058 0.250
Sb 0.727 0.942 0.750
Sb 0.785 0.727 0.250
Sb 0.942 0.215 0.250

| no. | density of states at the Fermi level (states/eV per cell) |
| --- | --- |
| 1 | 48.93 |
| 2 | 48.29 |